[1]
Computed, not measured: a relaxed Ho2LuPb crystal at the PBE level of DFT.

```
Ho2LuPb
1.0
3.597 0.000 0.000
0.000 3.597 0.000
0.000 0.000 9.132
Pb Lu Ho
1 1 2
direct
0.500 0.500 0.000 Pb
0.500 0.500 0.500 Lu
0.000 0.000 0.761 Ho
0.000 0.000 0.239 Ho
```

Calculated total energy in eV per atom: -4.55
Excess energy over the best structure of this formula in the dataset in meV/atom: 45.1
Symmetry: P4/mmm, No. 123
Magnetic moment in μB/f.u.: 0.00
Formation energy from the elements in eV/atom: -0.204


[2]
Computed, not measured: a relaxed FeIr3Cl crystal at the PBE level of DFT.

```
FeIr3Cl
1.0
-1.928 -3.868 -0.821
3.902 -2.009 0.304
-0.642 -0.595 4.311
Ir Fe Cl
3 1 1
direct
0.000 0.500 0.000 Ir
0.000 0.000 0.500 Ir
0.500 0.000 0.000 Ir
0.500 0.500 0.500 Fe
0.000 0.000 0.000 Cl
```

Calculated total energy in eV per atom: -5.74
Excess energy over the best structure of this formula in the dataset in meV/atom: 0.0
Symmetry: Pm-3m, No. 221
Magnetic moment in μB/f.u.: 4.67
Formation energy (no corrections) in meV/atom: 1634


[3]
Computed, not measured: a relaxed Y2Ga2Pb crystal at the PBE level of DFT.

```
Y2Ga2Pb
1.0
4.891 0.000 0.000
0.000 4.891 0.000
2.446 2.446 5.758
Pb Y Ga
1 2 2
direct
0.000 0.000 0.000 Pb
0.750 0.250 0.500 Y
0.250 0.750 0.500 Y
0.397 0.397 0.207 Ga
0.603 0.603 0.793 Ga
```

Calculated total energy in eV per atom: -4.69
Excess energy over the best structure of this formula in the dataset in meV/atom: 431.1
Symmetry: I4/mmm, No. 139
Magnetic moment in μB/f.u.: 0.35
Formation energy from the elements in eV/atom: -0.152


[4]
Computed, not measured: a relaxed SbTe2PdN crystal at the PBE level of DFT.

```
SbTe2PdN
1.0
5.575 0.000 0.000
0.000 5.575 0.000
0.000 0.000 3.769
Sb Te Pd N
1 2 1 1
direct
0.500 0.500 0.500 Sb
0.000 0.500 0.000 Te
0.500 0.000 0.000 Te
0.000 0.000 0.000 Pd
0.000 0.000 0.500 N
```

Calculated total energy in eV per atom: -4.19
Excess energy over the best structure of this formula in the dataset in meV/atom: 0.0
Symmetry: P4/mmm, No. 123
Magnetic moment in μB/f.u.: 0.00
Formation energy (no corrections) in meV/atom: 590


[5]
Computed, not measured: a relaxed LiTmInPd crystal at the PBE level of DFT.

```
LiTmInPd
1.0
4.768 0.000 0.000
2.384 4.129 0.000
2.384 1.376 3.893
Tm Li Pd In
1 1 1 1
direct
0.750 0.750 0.750 Tm
0.000 0.000 0.000 Li
0.500 0.500 0.500 Pd
0.250 0.250 0.250 In
```

Calculated total energy in eV per atom: -4.20
Symmetry: F-43m, No. 216
Magnetic moment in μB/f.u.: 0.00
Formation energy from the elements in eV/atom: -0.622


[6]
Computed, not measured: a relaxed NdDyHg4 crystal at the PBE level of DFT.

```
NdDyHg4
1.0
3.783 0.000 -0.001
0.000 5.551 -0.003
0.003 0.004 8.087
Nd Dy Hg
1 1 4
direct
0.501 0.497 0.998 Nd
0.001 0.997 0.498 Dy
0.501 0.997 0.191 Hg
0.501 0.997 0.805 Hg
0.001 0.497 0.681 Hg
0.001 0.497 0.315 Hg
```

Calculated total energy in eV per atom: -2.04
Excess energy over the best structure of this formula in the dataset in meV/atom: 77.3
Symmetry: Pmmm, No. 47
Magnetic moment in μB/f.u.: 0.00
Formation energy from the elements in eV/atom: -0.274


[7]
Computed, not measured: a relaxed AcTbGe4 crystal at the PBE level of DFT.

```
AcTbGe4
1.0
-0.142 -3.023 -2.985
7.814 -0.882 0.522
-2.220 -12.255 12.513
Ac Tb Ge
4 4 16
direct
0.000 0.638 0.334 Ac
0.000 0.362 0.666 Ac
0.000 0.138 0.166 Ac
0.000 0.862 0.834 Ac
0.000 0.639 0.086 Tb
0.000 0.361 0.914 Tb
0.000 0.139 0.414 Tb
0.000 0.861 0.586 Tb
0.500 0.796 0.198 Ge
0.500 0.204 0.802 Ge
0.500 0.296 0.302 Ge
0.500 0.704 0.698 Ge
0.500 0.909 0.062 Ge
0.500 0.091 0.938 Ge
0.500 0.409 0.438 Ge
0.500 0.591 0.562 Ge
0.500 0.848 0.461 Ge
0.500 0.152 0.539 Ge
0.500 0.348 0.039 Ge
0.500 0.652 0.961 Ge
0.500 0.976 0.316 Ge
0.500 0.024 0.684 Ge
0.500 0.476 0.184 Ge
0.500 0.524 0.816 Ge
```

Calculated total energy in eV per atom: -5.09
Excess energy over the best structure of this formula in the dataset in meV/atom: 0.0
Symmetry: Pbam, No. 55
Magnetic moment in μB/f.u.: 0.00
Formation energy from the elements in eV/atom: -0.560


[8]
Computed, not measured: a relaxed Al2HF crystal at the PBE level of DFT.

```
Al2HF
1.0
2.248 1.941 2.995
-1.664 3.250 2.113
-1.065 -0.445 4.057
H Al F
1 2 1
direct
0.000 0.000 0.000 H
0.250 0.250 0.250 Al
0.750 0.750 0.750 Al
0.500 0.500 0.500 F
```

Calculated total energy in eV per atom: -3.33
Excess energy over the best structure of this formula in the dataset in meV/atom: 256.4
Symmetry: Fm-3m, No. 225
Magnetic moment in μB/f.u.: 0.00